First-principles (PBE) data for a relaxed Ta2TiMn2 crystal, as listed in Alexandria.

Lattice parameters (Å, degrees): 2.9513 2.9650 8.8836 80.39 90.00 90.00
Closest atoms and distances in Å follow each position.
Sites, in units of the cell vectors:
Mn1 0.5000 0.5867 0.8267  4 Ti 2.58, 4 Ta 2.58
Mn2 0.5000 0.4133 0.1733  4 Ti 2.58, 4 Ta 2.58
Ti1 0.0000 0.0000 0.0000  8 Mn 2.58
Ta1 0.0000 0.8266 0.3467  4 Mn 2.58
Ta2 0.0000 0.1734 0.6533  4 Mn 2.58

## Properties
- formation energy from the elements (kJ/mol of atoms) = 6

=====

First-principles (PBE) data for a relaxed BeMo2Br crystal, as listed in Alexandria.

Lattice parameters (Å, degrees): 4.7941 4.7941 4.7941 131.16 131.16 71.56
Closest atoms and distances in Å follow each position.
Sites, in units of the cell vectors:
Mo1 0.0000 0.0000 0.0000  4 Br 2.78, 4 Mo 2.78, 4 Be 2.80
Mo2 0.2500 0.7500 0.5000  4 Mo 2.78, 4 Be 2.78, 4 Br 2.80
Be1 0.5000 0.5000 0.0000  8 Mo 2.78-2.80, 4 Br 2.78
Br1 0.7500 0.2500 0.5000  4 Be 2.78, 8 Mo 2.78-2.80

## Properties
- raw total energy (eV/atom) = -5.840

=====

First-principles (PBE) data for a relaxed YHoCuNi crystal, as listed in Alexandria.

Lattice parameters (Å, degrees): 3.7028 4.3832 5.4362 90.00 109.91 90.00
Closest atoms and distances in Å follow each position.
Sites, in units of the cell vectors:
Y1 0.1400 0.0000 0.2800  3 Ni 2.86-2.93, 4 Cu 2.95
Ho1 0.8616 0.5000 0.7232  3 Cu 2.83-2.97, 4 Ni 2.95
Ni1 0.4269 0.0000 0.8538  2 Cu 2.64, 3 Y 2.86-2.93, 4 Ho 2.95
Cu1 0.5715 0.5000 0.1430  2 Ni 2.64, 2 Ho 2.83, 4 Y 2.95

## Properties
- formation energy from the elements (kJ/mol of atoms) = -35

=====

First-principles (PBE) data for a relaxed CaFeOsSe2 crystal, as listed in Alexandria.

Lattice parameters (Å, degrees): 4.8099 5.5735 4.8099 90.00 90.00 90.00
Closest atoms and distances in Å follow each position.
Sites, in units of the cell vectors:
Fe1 0.5000 0.5000 0.5000  4 Ca 3.40, 8 Se 3.68
Se1 0.5000 0.0000 0.0000  2 Os 2.40
Se2 0.0000 0.0000 0.5000  2 Os 2.40
Os1 0.0000 0.0000 0.0000  4 Se 2.40
Ca1 0.0000 0.5000 0.0000  2 Os 2.79

## Properties
- raw total energy (eV/atom) = -5.030

=====

First-principles (PBE) data for a relaxed Mg2TaCdB crystal, as listed in Alexandria.

Lattice parameters (Å, degrees): 4.4546 4.4784 4.4546 90.00 90.00 90.00
Closest atoms and distances in Å follow each position.
Sites, in units of the cell vectors:
Ta1 0.0000 0.5000 0.0000  2 B 2.24
Cd1 0.5000 0.5000 0.5000  4 Ta 3.15, 8 Mg 3.16
Mg1 0.5000 0.0000 0.0000  2 B 2.23
Mg2 0.0000 0.0000 0.5000  2 B 2.23
B1 0.0000 0.0000 0.0000  4 Mg 2.23, 2 Ta 2.24

## Properties
- formation energy from the elements (kJ/mol of atoms) = 20

=====

First-principles (PBE) data for a relaxed Ta2BeO crystal, as listed in Alexandria.

Lattice parameters (Å, degrees): 4.6994 4.6994 6.5142 68.86 68.86 90.00
Closest atoms and distances in Å follow each position.
Sites, in units of the cell vectors:
Be1 0.2500 0.7500 0.5000  4 Ta 2.33
Be2 0.5000 0.5000 0.0000  4 Ta 2.33
O1 0.0000 0.0000 0.0000  4 Ta 2.04
O2 0.7500 0.2500 0.5000  4 Ta 2.04
Ta1 0.0674 0.6250 0.2500  2 O 2.04
Ta2 0.3750 0.3174 0.7500  2 O 2.04
Ta3 0.6826 0.1250 0.2500  2 O 2.04
Ta4 0.8750 0.9326 0.7500  2 O 2.04

## Properties
- raw total energy (eV/atom) = -8.176

=====

First-principles (PBE) data for a relaxed BaCe2MoN5 crystal, as listed in Alexandria.

Lattice parameters (Å, degrees): 6.9547 6.9547 7.6216 117.15 117.15 90.00
Closest atoms and distances in Å follow each position.
Sites, in units of the cell vectors:
Ce1 0.6834 0.1834 0.0000  4 N 2.38-2.54
Ce2 0.8166 0.6834 0.0000  4 N 2.38-2.54
Ce3 0.3166 0.8166 0.0000  4 N 2.38-2.54
Ce4 0.1834 0.3166 0.0000  4 N 2.38-2.54
Mo1 0.7500 0.2500 0.5000  4 N 1.89
Mo2 0.2500 0.7500 0.5000  4 N 1.89
N1 0.0009 0.5009 0.7153  1 Mo 1.89
N2 0.0000 0.0000 0.0000  4 Ce 2.54
N3 0.7856 0.9991 0.2847  1 Mo 1.89
N4 0.2144 0.0009 0.7153  1 Mo 1.89
N5 0.2856 0.7856 0.2847  1 Mo 1.89
N6 0.9991 0.4991 0.2847  1 Mo 1.89
N7 0.5009 0.7144 0.7153  1 Mo 1.89
N8 0.5000 0.5000 0.0000  4 Ce 2.54
N9 0.4991 0.2856 0.2847  1 Mo 1.89
N10 0.7144 0.2144 0.7153  1 Mo 1.89
Ba1 0.7500 0.7500 0.5000  10 N 2.91-2.95
Ba2 0.2500 0.2500 0.5000  10 N 2.91-2.95

## Properties
- raw total energy (eV/atom) = -8.402

=====

First-principles (PBE) data for a relaxed LiTi2C2 crystal, as listed in Alexandria.

Lattice parameters (Å, degrees): 3.9641 3.9641 5.7815 69.95 69.95 90.00
Closest atoms and distances in Å follow each position.
Sites, in units of the cell vectors:
Ti1 0.7500 0.2500 0.5000  4 C 2.09
Ti2 0.2500 0.7500 0.5000  4 C 2.09
C1 0.3153 0.3153 0.3694  4 Ti 2.09
C2 0.6847 0.6847 0.6306  4 Ti 2.09
Li1 0.0000 0.0000 0.0000  10 C 3.19-3.37, 8 Ti 3.21

## Properties
- formation energy from the elements (kJ/mol of atoms) = 2

=====

First-principles (PBE) data for a relaxed Er3TmSc3 crystal, as listed in Alexandria.

Lattice parameters (Å, degrees): 6.2588 6.2522 14.9982 81.85 63.95 49.89
Closest atoms and distances in Å follow each position.
Sites, in units of the cell vectors:
Sc1 0.5565 0.7882 0.6155  5 Sc 3.05-3.33, 4 Er 3.27-3.38
Sc2 0.9885 0.8635 0.4375  4 Sc 2.81-3.10, 1 Er 3.13
Sc3 0.4435 0.2118 0.3845  5 Sc 3.05-3.33, 4 Er 3.27-3.38
Sc4 0.2825 0.4870 0.6021  7 Sc 3.15-3.43, 1 Er 3.15
Sc5 0.0115 0.1365 0.5625  4 Sc 2.81-3.10, 1 Er 3.13
Sc6 0.7175 0.5130 0.3979  7 Sc 3.15-3.43, 1 Er 3.15
Er1 0.8446 0.3892 0.7713  4 Sc 3.13-3.35, 5 Er 3.15-3.49, 1 Tm 3.18
Er2 0.1082 0.8193 0.8545  4 Er 3.15-3.48, 3 Tm 3.36-3.43, 1 Sc 3.38
Er3 0.8918 0.1807 0.1455  4 Er 3.15-3.48, 3 Tm 3.36-3.43, 1 Sc 3.38
Er4 0.5258 0.0964 0.7847  4 Sc 3.27-3.57, 1 Tm 3.37, 5 Er 3.41-3.49
Er5 0.1554 0.6108 0.2287  4 Sc 3.13-3.35, 5 Er 3.15-3.49, 1 Tm 3.18
Er6 0.4742 0.9036 0.2153  4 Sc 3.27-3.57, 1 Tm 3.37, 5 Er 3.41-3.49
Tm1 0.6699 0.6396 0.9857  5 Er 3.18-3.43, 3 Tm 3.40-3.52
Tm2 0.3301 0.3604 0.0143  5 Er 3.18-3.43, 3 Tm 3.40-3.52

## Properties
- formation energy from the elements (kJ/mol of atoms) = 13

=====

First-principles (PBE) data for a relaxed CrAgP2 crystal, as listed in Alexandria.

Lattice parameters (Å, degrees): 2.6082 2.6082 9.8317 90.00 90.00 101.51
Closest atoms and distances in Å follow each position.
Sites, in units of the cell vectors:
Ag1 0.0000 0.0000 0.5249  4 Ag 2.61, 2 Cr 2.81, 2 P 2.82
P1 0.5000 0.5000 0.2922  4 P 2.61, 2 Ag 2.82
P2 0.0000 0.0000 0.9264  4 Cr 2.35-2.62, 4 P 2.61
Cr1 0.5000 0.5000 0.7564  4 P 2.35-2.62, 4 Cr 2.61

## Properties
- formation energy from the elements (kJ/mol of atoms) = 41

=====

First-principles (PBE) data for a relaxed TbTl3In3Br8 crystal, as listed in Alexandria.

Lattice parameters (Å, degrees): 9.5143 9.5380 9.5291 120.20 90.00 119.92
Closest atoms and distances in Å follow each position.
Sites, in units of the cell vectors:
Br1 0.7488 0.4975 0.7458  3 In 3.35, 3 Tl 3.38-3.39
Br2 0.7874 0.9986 0.7094  1 Tb 2.84
Br3 0.2512 0.5025 0.2542  3 In 3.35, 3 Tl 3.38-3.39
Br4 0.2112 0.9986 0.7094  1 Tb 2.84
Br5 0.7888 0.0014 0.2906  1 Tb 2.84
Br6 0.2110 0.4220 0.7097  1 Tb 2.84
Br7 0.2126 0.0014 0.2906  1 Tb 2.84
Br8 0.7890 0.5780 0.2903  1 Tb 2.84
Tb1 0.0000 0.0000 0.5000  6 Br 2.84
Tl1 0.5000 0.5000 0.0000  6 Br 3.39-3.41
Tl2 0.0000 0.5000 0.0000  6 Br 3.39-3.41
Tl3 0.0000 0.0000 0.0000  6 Br 3.38-3.42
In1 0.5000 0.5000 0.5000  6 Br 3.35-3.40
In2 0.5000 0.0000 0.5000  6 Br 3.35-3.39
In3 0.0000 0.5000 0.5000  6 Br 3.35-3.40

## Properties
- raw total energy (eV/atom) = -3.157

=====

First-principles (PBE) data for a relaxed CsHgIBr2 crystal, as listed in Alexandria.

Lattice parameters (Å, degrees): 5.7477 5.7477 5.9569 90.00 90.00 90.00
Closest atoms and distances in Å follow each position.
Sites, in units of the cell vectors:
Br1 0.5000 0.0000 0.0000  2 Hg 2.87
Br2 0.0000 0.5000 0.0000  2 Hg 2.87
Hg1 0.0000 0.0000 0.0000  4 Br 2.87, 2 I 2.98
I1 0.0000 0.0000 0.5000  2 Hg 2.98
Cs1 0.5000 0.5000 0.5000  4 I 4.06, 8 Br 4.14

## Properties
- raw total energy (eV/atom) = -2.105